Computed, not measured: a relaxed structure of UInSi2Rh5 at the PBE level of DFT.

Properties
ΔE_f (raw) = -31.5 kJ per mole of atoms
N(E_F) = 1.359 states/eV per atom

abc: 3.978 3.978 10.726
angles: 90.00 90.00 90.00
Space group P4/mmm (No. 123)
One atom of each set of equivalent atoms:
U: 0.000 0.000 0.000 x1
In: 0.000 0.000 0.500 x1
Si: 0.500 0.500 0.217 x2
Rh: 0.000 0.500 0.326 x4
Rh: 0.500 0.500 0.000 x1


Computed, not measured: a relaxed structure of CsCa2In2 at the PBE level of DFT.

Properties
calculated formation energy = -0.950 eV/f.u.
N(E_F) = 0.713 states/eV per atom
polymorph energy (0 for the lowest one) = 0 meV/atom

abc: 9.732 9.732 3.721
angles: 90.00 90.00 90.00
Space group P4/mbm (No. 127)
One atom of each set of equivalent atoms:
Cs: 0.000 0.000 0.000 x2
Ca: 0.141 0.359 0.000 x4
In: 0.149 0.649 0.500 x4